20
Lattice="6.054 0.066 0.068 2.005 7.089 0.380 2.005 0.117 7.098" Properties=species:S:1:pos:R:3 comment="Ga2BiMoO6 | Alexandria via LeMat-Bulk | PBE+U | relaxed" total_magnetization_mub_per_cell=6.0 energy_ev_per_atom=-6.257 volume_a3_per_atom=15.13 pbc="T T T"
Ga 4.822 5.637 4.772
Ga 2.215 2.678 1.701
Ga 5.242 1.634 2.774
Ga 7.849 4.592 5.844
Bi 3.518 6.327 1.146
Bi 6.545 0.944 6.399
Mo 3.518 2.074 5.244
Mo 6.545 5.196 2.301
O 4.626 7.143 5.857
O 2.411 1.650 0.157
O 5.438 0.128 1.689
O 7.653 5.621 7.389
O 4.673 5.994 2.958
O 2.364 4.504 1.412
O 5.391 1.277 4.587
O 7.700 2.767 6.134
O 3.622 4.308 5.269
O 3.415 2.132 3.012
O 6.442 2.963 2.277
O 6.649 5.138 4.534